Record 1
Compound: FeCo7
Source: Alexandria via LeMat-Bulk
Functional: PBE-GGA
Structure: optimized geometry

Summary:
D(E_F) = 8.50 states/eV/f.u.
Energy above the lowest structure with this stoichiometry = 0.80 kJ per mole of atoms
Energy of formation = 0.41 kcal/mol of atoms
Electronic total energy = -7.26 eV/atom

Unit cell a=2.5066 b=4.9997 c=7.0411 alpha=90.00 beta=90.00 gamma=90.00
Closest atoms and distances in Å follow each position.
Space group Pmmm (No. 47)
Asymmetric unit:
Fe  0.0000  0.0000  0.0000 [1 per cell]  10 Co 2.50-2.52, 2 Fe 2.51
Co  0.0000  0.0000  0.5000 [1 per cell]  12 Co 2.49-2.51
Co  0.0000  0.5000  0.0000 [1 per cell]  2 Fe 2.50, 10 Co 2.51
Co  0.0000  0.5000  0.5000 [1 per cell]  12 Co 2.47-2.51
Co  0.5000  0.2528  0.2537 [4 per cell]  10 Co 2.47-2.53, 2 Fe 2.52

=====

Record 2
Compound: Fe5Co3
Source: Alexandria via LeMat-Bulk
Functional: PBE-GGA
Structure: optimized geometry

Summary:
D(E_F) = 4.81 states/eV/f.u.
Energy above the lowest structure with this stoichiometry = 3.59 kJ per mole of atoms
Energy of formation = -0.54 kcal/mol of atoms
Electronic total energy = -7.98 eV/atom

Unit cell a=4.9228 b=4.0152 c=4.9529 alpha=90.00 beta=109.38 gamma=90.00
Closest atoms and distances in Å follow each position.
Space group Pm (No. 6)
Asymmetric unit:
Fe  0.0000  0.0000  0.0000 [1 per cell]  4 Co 2.45-2.46, 4 Fe 2.47-2.48
Fe  0.0011  0.0000  0.5014 [1 per cell]  2 Co 2.44, 6 Fe 2.46-2.49
Fe  0.4991  0.0000  0.4981 [1 per cell]  4 Fe 2.46-2.47, 4 Co 2.47-2.48
Fe  0.7445  0.5000  0.2449 [1 per cell]  4 Co 2.44-2.47, 4 Fe 2.47-2.49
Fe  0.7467  0.5000  0.7461 [1 per cell]  2 Co 2.45-2.47, 6 Fe 2.46-2.48
Co  0.2451  0.5000  0.7459 [1 per cell]  4 Fe 2.44-2.47, 4 Co 2.47-2.48
Co  0.2467  0.5000  0.2455 [1 per cell]  6 Fe 2.45-2.47, 2 Co 2.47-2.48
Co  0.5004  0.0000  0.0002 [1 per cell]  6 Fe 2.44-2.48, 2 Co 2.48

=====

Record 3
Compound: Fe4Co3
Source: Alexandria via LeMat-Bulk
Functional: PBE-GGA
Structure: optimized geometry

Summary:
D(E_F) = 3.40 states/eV/f.u.
Energy above the lowest structure with this stoichiometry = 0.30 kJ per mole of atoms
Energy of formation = -1.08 kcal/mol of atoms
Electronic total energy = -7.93 eV/atom

Unit cell a=4.0207 b=4.0207 c=17.2256 alpha=90.00 beta=90.00 gamma=120.00
Closest atoms and distances in Å follow each position.
Space group R-3m (No. 166, hexagonal axes)
Asymmetric unit:
Fe  0.0000  0.0000  0.1425 [6 per cell]  4 Co 2.46-2.47, 4 Fe 2.46-2.47
Fe  0.0000  0.0000  0.2856 [6 per cell]  7 Co 2.44-2.46, 1 Fe 2.46
Co  0.0000  0.0000  0.0000 [3 per cell]  8 Fe 2.46
Co  0.0000  0.0000  0.4273 [6 per cell]  7 Fe 2.44-2.47, 1 Co 2.50

=====

Record 4
Compound: Fe2Co5
Source: Alexandria via LeMat-Bulk
Functional: PBE-GGA
Structure: optimized geometry

Summary:
D(E_F) = 6.33 states/eV/f.u.
Energy above the lowest structure with this stoichiometry = 11.14 kJ per mole of atoms
Energy of formation = 2.86 kcal/mol of atoms
Electronic total energy = -7.37 eV/atom

Unit cell a=5.8542 b=10.9512 c=5.0504 alpha=90.00 beta=90.00 gamma=90.00
Closest atoms and distances in Å follow each position.
Space group Ibam (No. 72)
Asymmetric unit:
Fe  0.1742  0.0923  0.0000 [8 per cell]  8 Co 2.39-2.57
Co  0.0000  0.2693  0.2500 [8 per cell]  7 Co 2.33-2.53, 2 Fe 2.53
Co  0.0000  0.5000  0.2500 [4 per cell]  8 Co 2.45-2.53, 4 Fe 2.50
Co  0.2292  0.1251  0.5000 [8 per cell]  6 Co 2.33-2.45, 4 Fe 2.39-2.57

=====

Record 5
Compound: Fe5Co3
Source: Alexandria via LeMat-Bulk
Functional: PBE-GGA
Structure: optimized geometry

Summary:
D(E_F) = 4.95 states/eV/f.u.
Energy above the lowest structure with this stoichiometry = 3.82 kJ per mole of atoms
Energy of formation = -0.49 kcal/mol of atoms
Electronic total energy = -7.97 eV/atom

Unit cell a=4.0197 b=4.0197 c=11.4093 alpha=90.00 beta=90.00 gamma=90.00
Closest atoms and distances in Å follow each position.
Space group I-4m2 (No. 119)
Asymmetric unit:
Fe  0.0000  0.0000  0.0000 [2 per cell]  4 Fe 2.45, 4 Co 2.47
Fe  0.0000  0.0000  0.2497 [4 per cell]  4 Co 2.46, 4 Fe 2.47-2.48
Fe  0.0000  0.5000  0.6233 [4 per cell]  6 Fe 2.45-2.48, 2 Co 2.45
Co  0.0000  0.0000  0.5000 [2 per cell]  4 Fe 2.45, 4 Co 2.47
Co  0.0000  0.5000  0.1257 [4 per cell]  6 Fe 2.46-2.47, 2 Co 2.47

=====

Record 6
Compound: Fe2Co5
Source: Alexandria via LeMat-Bulk
Functional: PBE-GGA
Structure: optimized geometry

Summary:
D(E_F) = 8.37 states/eV/f.u.
Energy above the lowest structure with this stoichiometry = 2.78 kJ per mole of atoms
Energy of formation = 0.86 kcal/mol of atoms
Electronic total energy = -7.46 eV/atom

Unit cell a=2.8109 b=2.8109 c=19.9558 alpha=90.00 beta=90.00 gamma=90.00
Closest atoms and distances in Å follow each position.
Space group I4/mmm (No. 139)
Asymmetric unit:
Fe  0.0000  0.0000  0.2127 [4 per cell]  4 Co 2.43, 4 Fe 2.48
Co  0.0000  0.0000  0.0698 [4 per cell]  8 Co 2.43-2.46
Co  0.0000  0.0000  0.3576 [4 per cell]  4 Fe 2.43, 4 Co 2.46
Co  0.0000  0.0000  0.5000 [2 per cell]  8 Co 2.43

=====

Record 7
Compound: Fe5Co3
Source: Alexandria via LeMat-Bulk
Functional: PBE-GGA
Structure: optimized geometry

Summary:
D(E_F) = 5.23 states/eV/f.u.
Energy above the lowest structure with this stoichiometry = 3.93 kJ per mole of atoms
Energy of formation = -0.46 kcal/mol of atoms
Electronic total energy = -7.97 eV/atom

Unit cell a=2.8355 b=2.8355 c=11.4263 alpha=90.00 beta=90.00 gamma=90.00
Closest atoms and distances in Å follow each position.
Space group P4mm (No. 99)
Asymmetric unit:
Fe  0.0000  0.0000  0.0000 [1 per cell]  8 Co 2.43-2.47
Fe  0.0000  0.0000  0.2499 [1 per cell]  4 Co 2.46, 4 Fe 2.48
Fe  0.0000  0.0000  0.5016 [1 per cell]  8 Fe 2.46-2.48
Fe  0.5000  0.5000  0.3775 [1 per cell]  8 Fe 2.46-2.48
Fe  0.5000  0.5000  0.6301 [1 per cell]  4 Co 2.43, 4 Fe 2.48
Co  0.0000  0.0000  0.7507 [1 per cell]  4 Fe 2.43, 4 Co 2.49
Co  0.5000  0.5000  0.1256 [1 per cell]  8 Fe 2.46-2.47
Co  0.5000  0.5000  0.8796 [1 per cell]  4 Fe 2.43, 4 Co 2.49

=====

Record 8
Compound: Fe5Co2
Source: Alexandria via LeMat-Bulk
Functional: PBE-GGA
Structure: optimized geometry

Summary:
D(E_F) = 4.29 states/eV/f.u.
Energy above the lowest structure with this stoichiometry = 3.98 kJ per mole of atoms
Energy of formation = -0.15 kcal/mol of atoms
Electronic total energy = -8.08 eV/atom

Unit cell a=16.3545 b=4.0161 c=2.4665 alpha=90.00 beta=95.85 gamma=90.00
Closest atoms and distances in Å follow each position.
Space group C2/m (No. 12)
Asymmetric unit:
Fe  0.0000  0.0000  0.0000 [2 per cell]  8 Fe 2.46-2.49
Fe  0.0721  0.5000  0.7190 [4 per cell]  1 Co 2.44, 7 Fe 2.46-2.49
Fe  0.1447  0.0000  0.4291 [4 per cell]  3 Co 2.44, 5 Fe 2.47-2.49
Co  0.2137  0.5000  0.1461 [4 per cell]  4 Fe 2.44, 4 Co 2.47-2.48

=====

Record 9
Compound: Fe5Co3
Source: Alexandria via LeMat-Bulk
Functional: PBE-GGA
Structure: optimized geometry

Summary:
D(E_F) = 4.41 states/eV/f.u.
Energy above the lowest structure with this stoichiometry = 1.94 kJ per mole of atoms
Energy of formation = -0.94 kcal/mol of atoms
Electronic total energy = -7.99 eV/atom

Unit cell a=9.0570 b=2.8399 c=8.0816 alpha=90.00 beta=117.06 gamma=90.00
Closest atoms and distances in Å follow each position.
Space group C2/m (No. 12)
Asymmetric unit:
Fe  0.0000  0.0000  0.0000 [2 per cell]  4 Co 2.46, 4 Fe 2.48
Fe  0.0021  0.5000  0.7501 [4 per cell]  4 Co 2.46, 4 Fe 2.48-2.49
Fe  0.2490  0.5000  0.6258 [4 per cell]  4 Co 2.46, 4 Fe 2.49
Co  0.0000  0.0000  0.5000 [2 per cell]  8 Fe 2.46
Co  0.2494  0.5000  0.1256 [4 per cell]  6 Fe 2.46, 2 Co 2.48

=====

Record 10
Compound: Fe4Co3
Source: Alexandria via LeMat-Bulk
Functional: PBE-GGA
Structure: optimized geometry

Summary:
D(E_F) = 4.95 states/eV/f.u.
Energy above the lowest structure with this stoichiometry = 2.52 kJ per mole of atoms
Energy of formation = -0.55 kcal/mol of atoms
Electronic total energy = -7.91 eV/atom

Unit cell a=8.5385 b=4.0199 c=4.7162 alpha=90.00 beta=95.74 gamma=90.00
Closest atoms and distances in Å follow each position.
Space group Cm (No. 8)
Asymmetric unit:
Fe  0.0000  0.0000  0.0000 [2 per cell]  4 Co 2.45-2.48, 4 Fe 2.46-2.47
Fe  0.0706  0.5000  0.2858 [2 per cell]  3 Co 2.45-2.47, 5 Fe 2.46-2.48
Fe  0.1451  0.0000  0.5750 [2 per cell]  4 Co 2.45, 4 Fe 2.46-2.48
Fe  0.3575  0.5000  0.4302 [2 per cell]  5 Co 2.45-2.46, 3 Fe 2.47-2.48
Co  0.2158  0.5000  0.8573 [2 per cell]  5 Fe 2.45-2.47, 3 Co 2.47-2.48
Co  0.2864  0.0000  0.1483 [2 per cell]  5 Fe 2.45-2.48, 3 Co 2.47-2.48
Co  0.4287  0.0000  0.7152 [2 per cell]  6 Fe 2.45-2.46, 2 Co 2.48

=====

Record 11
Compound: Fe5Co3
Source: Alexandria via LeMat-Bulk
Functional: PBE-GGA
Structure: optimized geometry

Summary:
D(E_F) = 5.43 states/eV/f.u.
Energy above the lowest structure with this stoichiometry = 4.26 kJ per mole of atoms
Energy of formation = -0.38 kcal/mol of atoms
Electronic total energy = -7.97 eV/atom

Unit cell a=2.4671 b=4.0148 c=9.3086 alpha=90.00 beta=94.71 gamma=90.00
Closest atoms and distances in Å follow each position.
Space group Pm (No. 6)
Asymmetric unit:
Fe  0.0000  0.0000  0.0000 [1 per cell]  2 Co 2.45-2.47, 6 Fe 2.46-2.48
Fe  0.1135  0.5000  0.3748 [1 per cell]  3 Co 2.44-2.45, 5 Fe 2.47-2.48
Fe  0.3740  0.5000  0.1247 [1 per cell]  6 Fe 2.46-2.47, 2 Co 2.47
Fe  0.4983  0.0000  0.5022 [1 per cell]  4 Co 2.44-2.47, 4 Fe 2.47-2.48
Fe  0.6212  0.5000  0.8726 [1 per cell]  3 Co 2.44, 5 Fe 2.47-2.48
Co  0.2548  0.0000  0.7510 [1 per cell]  4 Fe 2.44-2.45, 4 Co 2.47-2.49
Co  0.7469  0.0000  0.2509 [1 per cell]  6 Fe 2.45-2.47, 2 Co 2.47
Co  0.8610  0.5000  0.6233 [1 per cell]  4 Fe 2.44, 4 Co 2.47-2.49

=====

Record 12
Compound: Fe4Co3
Source: Alexandria via LeMat-Bulk
Functional: PBE-GGA
Structure: optimized geometry

Summary:
D(E_F) = 4.83 states/eV/f.u.
Energy above the lowest structure with this stoichiometry = 2.39 kJ per mole of atoms
Energy of formation = -0.58 kcal/mol of atoms
Electronic total energy = -7.91 eV/atom

Unit cell a=8.5358 b=4.0135 c=4.7248 alpha=90.00 beta=95.24 gamma=90.00
Closest atoms and distances in Å follow each position.
Space group C2/m (No. 12)
Asymmetric unit:
Fe  0.0705  0.0000  0.2818 [4 per cell]  4 Co 2.45, 4 Fe 2.48
Fe  0.1429  0.5000  0.5741 [4 per cell]  4 Co 2.45-2.46, 4 Fe 2.48
Co  0.0000  0.5000  0.0000 [2 per cell]  6 Fe 2.45, 2 Co 2.48
Co  0.2132  0.0000  0.8537 [4 per cell]  5 Fe 2.45-2.46, 3 Co 2.48